1.
Tb12Y2Ho | GGA-PBE | relaxed

As for the crystal system: monoclinic. The calculation puts the density of states at the Fermi level at 96.23 states/eV per cell.

The structure belongs to space group C2/m (No. 12); the cell edges are 7.140, 11.196 and 24.364 Å and the angles 90.00°, 94.24° and 90.00°. The inequivalent atoms are Tb at (0.018, 0.250, 0.073), Tb at (0.113, 0.248, 0.444), Tb at (0.140, 0.500, 0.575), Tb at (0.144, 0.000, 0.575), Tb at (0.167, 0.253, 0.671), Tb at (0.200, 0.241, 0.799), Tb at (0.214, 0.500, 0.858), Tb at (0.217, 0.000, 0.868), Y at (0.065, 0.000, 0.272), Y at (0.071, 0.500, 0.272) and Ho at (0.249, 0.500, 0.996).

2.
TbY3Ho | GGA-PBE | relaxed

Its relative energy among the computed polymorphs is 0.0 kJ per mole of atoms. As for the crystal system: monoclinic. The calculation puts the density of states at the Fermi level at 17.23 states/eV per cell.

The structure belongs to space group P2_1/m (No. 11); the cell edges are 6.307, 5.640 and 9.631 Å and the angles 90.00°, 109.09° and 90.00°. The inequivalent atoms are Tb at (0.069, 0.250, 0.299), Y at (0.136, 0.750, 0.099), Y at (0.264, 0.250, 0.701), Y at (0.333, 0.750, 0.501) and Ho at (0.468, 0.250, 0.100).

Number 1: calculated total energy -4.759 eV per atom. Number 2: calculated total energy -5.718 eV per atom.